No. 1
Compound: Li2AlHg6
Source: Alexandria
Functional: PBE
Structure: relaxed

```
Li2AlHg6
1.0
5.9208 0.0000 0.0000
0.0000 9.0000 0.0000
-5.2336 0.0000 7.6936
Li Al Hg
4 2 12
Cartesian
-0.7296 0.7784 2.2891
-3.3464 3.7216 6.1359
4.0336 5.2784 1.5577
1.4168 8.2216 5.4045
2.9604 0.0000 0.0000
0.3436 4.5000 3.8468
-4.6651 1.4105 7.3906
-2.0482 3.0895 3.5438
-3.0920 6.3741 7.2046
-0.4751 7.1260 3.3578
-1.5623 0.4155 5.0996
1.0545 4.0845 1.2528
-0.3673 4.9155 6.4408
2.2495 8.5845 2.5940
1.1623 1.8741 4.3358
3.7792 2.6260 0.4890
2.7354 5.9106 4.1498
5.3523 7.5895 0.3030
```

Calculated values
Energy of formation (eV/atom): -0.11
Total moment (μB per formula unit): 0.000

=====

No. 2
Compound: LiAlHg2
Source: Alexandria
Functional: PBE
Structure: relaxed

```
LiAlHg2
1.0
4.5727 0.0000 0.0000
0.0000 4.5727 0.0000
0.0000 0.0000 3.7231
Li Al Hg
1 1 2
Cartesian
0.0000 0.0000 0.0000
2.2864 2.2864 0.0000
0.0000 2.2864 1.8615
2.2864 0.0000 1.8615
```

Calculated values
Energy of formation (eV/atom): -0.12
Total moment (μB per formula unit): 0.000

=====

No. 3
Compound: LiAl2Hg2
Source: Alexandria
Functional: PBE
Structure: relaxed

```
LiAl2Hg2
1.0
4.5747 0.0000 0.0000
0.0000 4.5747 0.0000
0.0000 0.0000 11.0367
Li Al Hg
2 4 4
Cartesian
0.0000 0.0000 0.0000
2.2874 2.2874 5.5183
0.0000 0.0000 4.2572
0.0000 0.0000 6.7795
2.2874 2.2874 1.2611
2.2874 2.2874 9.7756
0.0000 2.2874 2.7592
0.0000 2.2874 8.2775
2.2874 0.0000 2.7592
2.2874 0.0000 8.2775
```

Calculated values
Energy of formation (eV/atom): 0.09
E above lowest polymorph (meV/atom): 103
Total moment (μB per formula unit): 0.000

=====

No. 4
Compound: LiAl2Hg
Source: Alexandria
Functional: PBE
Structure: relaxed

```
LiAl2Hg
1.0
5.4099 0.0000 0.0000
0.0000 8.4078 0.0000
0.0000 0.0000 3.2339
Li Al Hg
2 4 2
Cartesian
0.0000 0.0000 0.0000
2.7050 4.2039 0.0000
1.3525 2.1020 1.6170
1.3525 6.3059 1.6170
4.0574 2.1020 1.6170
4.0574 6.3059 1.6170
0.0000 4.2039 0.0000
2.7050 0.0000 0.0000
```

Calculated values
Energy of formation (eV/atom): 0.00
Total moment (μB per formula unit): 0.000

=====

No. 5
Compound: Li12AlHg3
Source: Alexandria
Functional: PBE
Structure: relaxed

```
Li12AlHg3
1.0
4.1573 0.0000 0.0000
0.0000 4.1573 0.0000
0.0000 0.0000 16.3065
Li Al Hg
12 1 3
Cartesian
0.0000 0.0000 0.0000
0.0000 0.0000 4.0698
0.0000 0.0000 8.1533
0.0000 0.0000 12.2367
0.0000 2.0786 2.0249
0.0000 2.0786 6.1013
0.0000 2.0786 10.2053
0.0000 2.0786 14.2816
2.0786 0.0000 2.0249
2.0786 0.0000 6.1013
2.0786 0.0000 10.2053
2.0786 0.0000 14.2816
2.0786 2.0786 0.0000
2.0786 2.0786 4.0376
2.0786 2.0786 8.1533
2.0786 2.0786 12.2690
```

Calculated values
Energy of formation (eV/atom): -0.21
Total moment (μB per formula unit): 0.000

=====

No. 6
Compound: LiAl2Hg
Source: Alexandria
Functional: PBE
Structure: relaxed

```
LiAl2Hg
1.0
3.0618 0.0000 0.0000
-1.5309 2.6516 0.0000
0.0000 0.0000 27.5035
Li Al Hg
3 6 3
Cartesian
0.0000 0.0000 0.0000
0.0000 1.7677 18.3357
1.5309 0.8839 9.1678
0.0000 0.0000 6.9569
0.0000 0.0000 13.9227
0.0000 1.7677 4.7548
0.0000 1.7677 25.2925
1.5309 0.8839 16.1247
1.5309 0.8839 23.0905
0.0000 0.0000 20.5954
0.0000 1.7677 11.4275
1.5309 0.8839 2.2597
```

Calculated values
Energy of formation (eV/atom): -0.01
Total moment (μB per formula unit): 0.000

=====

No. 7
Compound: LiAl2Hg
Source: Alexandria
Functional: PBE
Structure: relaxed

```
LiAl2Hg
1.0
3.0377 0.0000 0.0000
0.0000 4.9110 0.0000
-0.0039 0.0000 4.9041
Li Al Hg
1 2 1
Cartesian
0.0000 0.0000 0.0000
0.8354 2.4555 1.1903
2.1984 2.4555 3.7139
1.5169 0.0000 2.4521
```

Calculated values
Energy of formation (eV/atom): -0.04
Total moment (μB per formula unit): 0.000

=====

No. 8
Compound: Li14AlHg
Source: Alexandria
Functional: PBE
Structure: relaxed

```
Li14AlHg
1.0
5.9432 0.0000 0.0000
0.0000 5.9432 0.0000
0.0000 0.0000 8.3977
Li Al Hg
14 1 1
Cartesian
0.0000 0.0000 0.0000
0.0000 2.9716 0.0000
0.0000 2.9716 4.1988
1.4752 1.4752 2.1976
1.4752 1.4752 6.2001
1.4752 4.4680 2.1976
1.4752 4.4680 6.2001
2.9716 0.0000 0.0000
2.9716 0.0000 4.1988
2.9716 2.9716 0.0000
4.4680 1.4752 2.1976
4.4680 1.4752 6.2001
4.4680 4.4680 2.1976
4.4680 4.4680 6.2001
0.0000 0.0000 4.1988
2.9716 2.9716 4.1988
```

Calculated values
Energy of formation (eV/atom): -0.08
Total moment (μB per formula unit): 0.000